A relaxed structure of AgP2Pt4. Source: Alexandria via LeMat-Bulk, functional PBE.

It has space group I4/mmm (No. 139), with a = 4.875 Å, b = 4.875 Å, c = 11.998 Å, α = 90.00°, β = 90.00° and γ = 90.00°. Symmetry generates all atoms from Ag at (0.000, 0.000, 0.000), P at (0.000, 0.000, 0.405), Pt at (0.000, 0.000, 0.227) and Pt at (0.000, 0.500, 0.000).

The calculation puts the formation energy at 0.70 eV/atom. The final energy is -4.708 eV per atom. The total magnetization comes out at 0.00 μB per cell. The density of states at the Fermi level is 0.617 states/eV per atom.